First-principles (PBE-GGA) data for crystalline Mg2TeAs at its relaxed geometry, as listed in Alexandria via LeMat-Bulk.

Raw formation energy = -0.447 eV/atom
Total energy = -3.192 eV/atom
Density = 3.6 g/cm³
DOS at the Fermi energy = 2.75 states/eV per cell
Magnetic moment = 0.0 Bohr magnetons per cell

Cell lengths 15.682, 3.475, 4.207 Å; angles 90.00, 90.47, 90.00 degrees
Space group Cm (No. 8)
Asymmetric unit:
Mg1 0.000 0.000 0.000
Mg2 0.131 0.500 0.505
Te1 0.198 0.000 0.007
As1 0.462 0.000 0.499